# 1
Mg2ZnPb: single point on PBEsol structure, SCAN.

Cell lengths 4.3218, 4.3218, 5.5330 Å; angles 112.99, 112.99, 90.00 degrees
Fractional coordinates of all 4 atoms:
Mg 0.0000 0.0000 0.0000
Pb 0.5000 0.5000 0.0000
Mg 0.7500 0.2500 0.5000
Zn 0.2500 0.7500 0.5000

Results
The value obtained for the total energy is -99.499 eV for the cell shown. The value obtained for the total magnetization is 0.00 μB/f.u.

# 2
Cu2AsSe: single point on PBEsol structure, SCAN.

Cell lengths 3.0450, 3.0450, 7.2609 Å; angles 90.00, 90.00, 110.73 degrees
Fractional coordinates of all 4 atoms:
Se 0.5000 0.5000 0.5000
Cu 0.0000 0.0000 0.2448
As 0.5000 0.5000 0.0000
Cu 0.0000 0.0000 0.7552

Results
The formation energy (no corrections) comes out at 1.30 eV/f.u. The value obtained for the total magnetization is 0.00 μB/f.u.

# 3
NaCdInCo2: single point on PBEsol structure, SCAN.

Cell lengths 4.7216, 4.7216, 5.1671 Å; angles 90.00, 90.00, 90.00 degrees
Fractional coordinates of all 5 atoms:
Co 0.0000 0.5000 0.0000
In 0.0000 0.0000 0.0000
Na 0.0000 0.0000 0.5000
Cd 0.5000 0.5000 0.5000
Co 0.5000 0.0000 0.0000

Results
The value obtained for the total energy is -97.515 eV for the cell shown. The value obtained for the total magnetization is 3.54 μB/f.u.

# 4
BaIn2Te: single point on PBEsol structure, SCAN.

Cell lengths 4.6655, 4.6655, 6.7976 Å; angles 110.07, 110.07, 90.00 degrees
Fractional coordinates of all 4 atoms:
Ba 0.0000 0.0000 0.0000
In 0.7500 0.2500 0.5000
In 0.2500 0.7500 0.5000
Te 0.5000 0.5000 0.0000

Results
The formation energy (no corrections) comes out at -2.50 eV/f.u. The value obtained for the total magnetization is 0.00 μB/f.u.

# 5
Zn2CrWO6: single point on PBEsol structure, SCAN.

Cell lengths 5.1494, 5.1494, 5.4214 Å; angles 61.65, 61.65, 60.00 degrees
Fractional coordinates of all 10 atoms:
O 0.8988 0.2604 0.1990
Cr 0.5179 0.5179 0.4464
W 0.0146 0.0146 0.9563
Zn 0.2352 0.2352 0.2944
O 0.1371 0.7838 0.6881
O 0.7838 0.3910 0.6881
O 0.3910 0.1371 0.6881
Zn 0.7782 0.7782 0.6655
O 0.2604 0.6418 0.1990
O 0.6418 0.8988 0.1990

Results
The formation energy (no corrections) comes out at -19.57 eV/f.u. As for the energy relative to the lowest polymorph listed for this composition: 0 meV/atom. The value obtained for the total magnetization is 4.00 μB/f.u.

# 6
BaCdPF: single point on PBEsol structure, SCAN.

Cell lengths 4.3083, 4.3083, 9.4324 Å; angles 90.00, 90.00, 90.00 degrees
Fractional coordinates of all 8 atoms:
F 0.0000 0.0000 0.0000
P 0.5000 0.0000 0.6705
P 0.0000 0.5000 0.3295
Ba 0.5000 0.0000 0.1608
F 0.5000 0.5000 0.0000
Cd 0.0000 0.0000 0.5000
Cd 0.5000 0.5000 0.5000
Ba 0.0000 0.5000 0.8392

Results
The formation energy (no corrections) comes out at -7.95 eV/f.u. The value obtained for the total magnetization is 0.00 μB/f.u.